No. 1
# TmAl3Pt

Crystalline TmAl3Pt at its relaxed geometry (PBE, Alexandria).

Computed properties:
- electronic total energy (eV per atom) = -5.144
- ΔE_f (kJ/mol of formula units) = -384
- symmetry = Pnma, No. 62
- energy relative to the lowest polymorph listed for this composition (meV per atom) = 0

abc: 8.2780 4.1250 10.9719
angles: 90.00 90.00 90.00
Closest atoms and distances in Å follow each position.
Sites, in units of the cell vectors:
Tm 0.1855 0.2500 0.0095  8 Al 3.05-3.30, 2 Pt 3.17
Tm 0.3145 0.7500 0.5095  8 Al 3.05-3.30, 2 Pt 3.17
Tm 0.6855 0.2500 0.4905  8 Al 3.05-3.30, 2 Pt 3.17
Tm 0.8145 0.7500 0.9905  8 Al 3.05-3.30, 2 Pt 3.17
Al 0.0634 0.2500 0.5867  3 Pt 2.54-2.56, 2 Al 2.77-2.81
Al 0.1052 0.7500 0.8021  2 Pt 2.47-2.48
Al 0.1429 0.7500 0.2142  2 Pt 2.61, 4 Al 2.77-2.92
Al 0.3571 0.2500 0.7142  2 Pt 2.61, 4 Al 2.77-2.92
Al 0.3948 0.2500 0.3021  2 Pt 2.47-2.48
Al 0.4366 0.7500 0.0867  3 Pt 2.54-2.56, 2 Al 2.77-2.81
Al 0.5634 0.2500 0.9133  3 Pt 2.54-2.56, 2 Al 2.77-2.81
Al 0.6052 0.7500 0.6979  2 Pt 2.47-2.48
Al 0.6429 0.7500 0.2858  2 Pt 2.61, 4 Al 2.77-2.92
Al 0.8571 0.2500 0.7858  2 Pt 2.61, 4 Al 2.77-2.92
Al 0.8948 0.2500 0.1979  2 Pt 2.47-2.48
Al 0.9366 0.7500 0.4133  3 Pt 2.54-2.56, 2 Al 2.77-2.81
Pt 0.1048 0.2500 0.3573  7 Al 2.47-2.61
Pt 0.3952 0.7500 0.8573  7 Al 2.47-2.61
Pt 0.6048 0.2500 0.1427  7 Al 2.47-2.61
Pt 0.8952 0.7500 0.6427  7 Al 2.47-2.61



No. 2
# RbZr2TaFe

Crystalline RbZr2TaFe at its relaxed geometry (PBE, Alexandria).

Computed properties:
- electronic total energy (eV per atom) = -5.383
- ΔE_f (kJ/mol of formula units) = 1106
- symmetry = P4/mmm, No. 123

abc: 5.0192 5.0192 4.2759
angles: 90.00 90.00 90.00
Closest atoms and distances in Å follow each position.
Sites, in units of the cell vectors:
Rb 0.0000 0.0000 0.0000  2 Fe 2.14
Zr 0.0000 0.5000 0.0000  2 Rb 2.51
Zr 0.5000 0.0000 0.0000  2 Rb 2.51
Ta 0.5000 0.5000 0.5000  8 Zr 3.30, 4 Fe 3.55
Fe 0.0000 0.0000 0.5000  2 Rb 2.14



No. 3
# HoScBr

Crystalline HoScBr at its relaxed geometry (PBE, Alexandria).

Computed properties:
- electronic total energy (eV per atom) = -4.872
- symmetry = P3m1, No. 156
- uncorrected formation energy (eV per atom) = -0.678
- energy relative to the lowest polymorph listed for this composition (meV per atom) = 0

abc: 3.5977 3.5977 6.9577
angles: 90.00 90.00 120.00
Closest atoms and distances in Å follow each position.
Sites, in units of the cell vectors:
Ho 0.0000 0.0000 0.0000  3 Br 3.13, 3 Sc 3.24
Sc 0.6667 0.3333 0.3577  3 Br 2.98, 3 Ho 3.24
Br 0.3333 0.6667 0.6638  3 Sc 2.98, 3 Ho 3.13



No. 4
# Tm4SnC

Crystalline Tm4SnC at its relaxed geometry (PBE, Alexandria).

Computed properties:
- electronic total energy (eV per atom) = -5.384
- ΔE_f (kJ/mol of formula units) = -115
- symmetry = Cmcm, No. 63

abc: 5.9518 5.9518 9.4872
angles: 90.00 90.00 77.99
Closest atoms and distances in Å follow each position.
Sites, in units of the cell vectors:
Tm 0.2255 0.3771 0.2500  1 C 2.24
Tm 0.2475 0.7525 0.5486  1 C 2.24
Tm 0.2475 0.7525 0.9514  1 C 2.24
Tm 0.3771 0.2255 0.7500  1 C 2.24
Tm 0.6229 0.7745 0.2500  1 C 2.24
Tm 0.7525 0.2475 0.0486  1 C 2.24
Tm 0.7525 0.2475 0.4514  1 C 2.24
Tm 0.7745 0.6229 0.7500  1 C 2.24
Sn 0.0876 0.9124 0.2500  8 Tm 3.04-3.15
Sn 0.9124 0.0876 0.7500  8 Tm 3.04-3.15
C 0.4043 0.5957 0.7500  4 Tm 2.24
C 0.5957 0.4043 0.2500  4 Tm 2.24



No. 5
# HfCoAg3

Crystalline HfCoAg3 at its relaxed geometry (PBE, Alexandria).

Computed properties:
- electronic total energy (eV per atom) = -3.424
- ΔE_f (kJ/mol of formula units) = 819
- symmetry = Pm-3m, No. 221
- energy relative to the lowest polymorph listed for this composition (meV per atom) = 663

abc: 5.1927 5.1927 5.1927
angles: 90.00 90.00 90.00
Closest atoms and distances in Å follow each position.
Sites, in units of the cell vectors:
Hf 0.0000 0.0000 0.0000  6 Ag 2.60
Co 0.5000 0.5000 0.5000  12 Ag 3.67
Ag 0.0000 0.0000 0.5000  2 Hf 2.60
Ag 0.0000 0.5000 0.0000  2 Hf 2.60
Ag 0.5000 0.0000 0.0000  2 Hf 2.60



No. 6
# BaVSn3

Crystalline BaVSn3 at its relaxed geometry (PBE, Alexandria).

Computed properties:
- electronic total energy (eV per atom) = -3.092
- ΔE_f (kJ/mol of formula units) = 732
- symmetry = Pm-3m, No. 221
- energy relative to the lowest polymorph listed for this composition (meV per atom) = 1776

abc: 6.0801 6.0801 6.0801
angles: 90.00 90.00 90.00
Closest atoms and distances in Å follow each position.
Sites, in units of the cell vectors:
Ba 0.0000 0.0000 0.0000  6 Sn 3.04
V 0.5000 0.5000 0.5000  12 Sn 4.30
Sn 0.0000 0.0000 0.5000  2 Ba 3.04
Sn 0.0000 0.5000 0.0000  2 Ba 3.04
Sn 0.5000 0.0000 0.0000  2 Ba 3.04



No. 7
# Ce5Bi2AsO

Crystalline Ce5Bi2AsO at its relaxed geometry (PBE, Alexandria).

Computed properties:
- electronic total energy (eV per atom) = -6.447
- symmetry = P4/mmm, No. 123
- uncorrected formation energy (eV per atom) = -1.221

abc: 4.6476 4.6476 11.5829
angles: 90.00 90.00 90.00
Closest atoms and distances in Å follow each position.
Sites, in units of the cell vectors:
Ce 0.0000 0.0000 0.0000  4 As 3.29, 2 Bi 3.32
Ce 0.0000 0.5000 0.5000  2 O 2.32
Ce 0.5000 0.0000 0.5000  2 O 2.32
Ce 0.5000 0.5000 0.2505  1 O 2.89, 1 As 2.90
Ce 0.5000 0.5000 0.7495  1 O 2.89, 1 As 2.90
Bi 0.0000 0.0000 0.2866  9 Ce 3.31-3.39
Bi 0.0000 0.0000 0.7134  9 Ce 3.31-3.39
As 0.5000 0.5000 0.0000  2 Ce 2.90
O 0.5000 0.5000 0.5000  4 Ce 2.32



No. 8
# Th2Mg6Zr

Crystalline Th2Mg6Zr at its relaxed geometry (PBE, Alexandria).

Computed properties:
- electronic total energy (eV per atom) = -3.594
- ΔE_f (kJ/mol of formula units) = 59
- symmetry = P6/mmm, No. 191

abc: 8.9868 8.9868 3.2501
angles: 90.00 90.00 120.00
Closest atoms and distances in Å follow each position.
Sites, in units of the cell vectors:
Th 0.3333 0.6667 0.0000  2 Th 3.25, 12 Mg 3.45
Th 0.6667 0.3333 0.0000  2 Th 3.25, 12 Mg 3.45
Mg 0.0000 0.3228 0.5000  3 Mg 2.90-3.18
Mg 0.0000 0.6772 0.5000  3 Mg 2.90-3.18
Mg 0.3228 0.0000 0.5000  3 Mg 2.90-3.18
Mg 0.3228 0.3228 0.5000  3 Mg 2.90-3.18
Mg 0.6772 0.0000 0.5000  3 Mg 2.90-3.18
Mg 0.6772 0.6772 0.5000  3 Mg 2.90-3.18
Zr 0.0000 0.0000 0.0000  2 Zr 3.25, 12 Mg 3.33



Q: What is the formula in the eighth record?
A: Th2Mg6Zr



Q: The highest electronic total energy belongs to which entry?
A: BaVSn3



Repeat the first record exactly.
# TmAl3Pt

Crystalline TmAl3Pt at its relaxed geometry (PBE, Alexandria).

Computed properties:
- electronic total energy (eV per atom) = -5.144
- ΔE_f (kJ/mol of formula units) = -384
- symmetry = Pnma, No. 62
- energy relative to the lowest polymorph listed for this composition (meV per atom) = 0

abc: 8.2780 4.1250 10.9719
angles: 90.00 90.00 90.00
Closest atoms and distances in Å follow each position.
Sites, in units of the cell vectors:
Tm 0.1855 0.2500 0.0095  8 Al 3.05-3.30, 2 Pt 3.17
Tm 0.3145 0.7500 0.5095  8 Al 3.05-3.30, 2 Pt 3.17
Tm 0.6855 0.2500 0.4905  8 Al 3.05-3.30, 2 Pt 3.17
Tm 0.8145 0.7500 0.9905  8 Al 3.05-3.30, 2 Pt 3.17
Al 0.0634 0.2500 0.5867  3 Pt 2.54-2.56, 2 Al 2.77-2.81
Al 0.1052 0.7500 0.8021  2 Pt 2.47-2.48
Al 0.1429 0.7500 0.2142  2 Pt 2.61, 4 Al 2.77-2.92
Al 0.3571 0.2500 0.7142  2 Pt 2.61, 4 Al 2.77-2.92
Al 0.3948 0.2500 0.3021  2 Pt 2.47-2.48
Al 0.4366 0.7500 0.0867  3 Pt 2.54-2.56, 2 Al 2.77-2.81
Al 0.5634 0.2500 0.9133  3 Pt 2.54-2.56, 2 Al 2.77-2.81
Al 0.6052 0.7500 0.6979  2 Pt 2.47-2.48
Al 0.6429 0.7500 0.2858  2 Pt 2.61, 4 Al 2.77-2.92
Al 0.8571 0.2500 0.7858  2 Pt 2.61, 4 Al 2.77-2.92
Al 0.8948 0.2500 0.1979  2 Pt 2.47-2.48
Al 0.9366 0.7500 0.4133  3 Pt 2.54-2.56, 2 Al 2.77-2.81
Pt 0.1048 0.2500 0.3573  7 Al 2.47-2.61
Pt 0.3952 0.7500 0.8573  7 Al 2.47-2.61
Pt 0.6048 0.2500 0.1427  7 Al 2.47-2.61
Pt 0.8952 0.7500 0.6427  7 Al 2.47-2.61